(1)
A relaxed Sc2AgCl crystal, computed with PBE.

a b c (Å): 9.976 9.976 9.976
angles (deg): 18.22 18.22 18.22
Atoms (fractional coordinates):
Sc1 0.905 0.905 0.905
Sc2 0.095 0.095 0.095
Ag1 0.000 0.000 0.000
Cl1 0.500 0.500 0.500

Values from the calculation:
The calculation puts the formation energy without anion corrections at -0.310 eV per atom. The spin magnetization is 0.00 μB/atom. As for the volume: 21.19 Å³ per atom. The space group is No. 166. The calculation puts the energy relative to the lowest polymorph listed for this composition at 1.43 eV per formula unit.

***

(2)
A relaxed Mn5SbPd6 crystal, computed with PBE.

a b c (Å): 4.593 5.991 6.994
angles (deg): 90.00 101.32 90.00
Atoms (fractional coordinates):
Sb1 0.000 0.000 0.000
Mn1 0.673 0.500 0.335
Mn2 0.326 0.000 0.662
Mn3 0.000 0.500 0.000
Mn4 0.674 0.000 0.338
Mn5 0.327 0.500 0.665
Pd1 0.824 0.747 0.660
Pd2 0.824 0.253 0.660
Pd3 0.500 0.259 0.000
Pd4 0.500 0.741 0.000
Pd5 0.176 0.747 0.340
Pd6 0.176 0.253 0.340

Values from the calculation:
The calculation puts the formation energy without anion corrections at -0.222 eV per atom. The spin magnetization is 1.82 μB/atom. As for the volume: 15.72 Å³ per atom. The space group is No. 10.

***

(3)
A relaxed BaP2Br crystal, computed with PBE.

a b c (Å): 6.605 6.605 5.443
angles (deg): 80.47 80.47 31.41
Atoms (fractional coordinates):
Ba1 0.750 0.750 0.750
Br1 0.250 0.250 0.250
P1 0.016 0.016 0.863
P2 0.484 0.484 0.637

Values from the calculation:
The calculation puts the formation energy without anion corrections at -0.832 eV per atom. The spin magnetization is 0.00 μB/atom. As for the volume: 30.48 Å³ per atom. The space group is No. 12. The calculation puts the energy relative to the lowest polymorph listed for this composition at 0.00 eV per formula unit.

***

Question: The highest spin magnetization belongs to which entry?
Answer: Mn5SbPd6

***

Question: The lowest volume belongs to which entry?
Answer: Mn5SbPd6

***

Question: What is the formula in the first record?
Answer: Sc2AgCl